# GGA+U Na3Ni2SnO6, optimized geometry
data_Na3Ni2SnO6
_chemical_formula_sum 'Na6 Ni4 Sn2 O12'
_space_group_name_H-M_alt 'C 1 2/m 1'
_space_group_IT_number 12
_cell_length_a 5.343
_cell_length_b 9.307
_cell_length_c 5.698
_cell_angle_alpha 90.00
_cell_angle_beta 107.96
_cell_angle_gamma 90.00
loop_
_space_group_symop_operation_xyz
'x,y,z'
'-x,-y,-z'
'-x,y,-z'
'x,-y,z'
'x+1/2,y+1/2,z'
'-x+1/2,-y+1/2,-z'
'-x+1/2,y+1/2,-z'
'x+1/2,-y+1/2,z'
loop_
_atom_site_label
_atom_site_fract_x
_atom_site_fract_y
_atom_site_fract_z
Na1 0.000 0.000 0.000
Na2 0.000 0.327 0.000
Ni1 0.000 0.166 0.500
Sn1 0.000 0.500 0.500
O1 0.235 0.000 0.706
O2 0.236 0.333 0.703
# E = -4.977 eV per atom
# spin magnetization = 3.0 μB/f.u.